# Tm6Hg4Pb7, optimized geometry, DFT PBE
data_Tm6Hg4Pb7
_chemical_formula_sum 'Tm6 Hg4 Pb7'
_symmetry_space_group_name_H-M 'P 1'
_symmetry_Int_Tables_number 1
_symmetry_space_group_name_Hall 'P 1'
_cell_length_a 8.584
_cell_length_b 8.584
_cell_length_c 8.584
_cell_angle_alpha 109.47
_cell_angle_beta 109.47
_cell_angle_gamma 109.47
loop_
_atom_site_label
_atom_site_fract_x
_atom_site_fract_y
_atom_site_fract_z
_atom_site_occupancy
Tm1 0.000 0.295 0.295 1
Tm2 0.000 0.705 0.705 1
Tm3 0.295 0.000 0.295 1
Tm4 0.295 0.295 0.000 1
Tm5 0.705 0.000 0.705 1
Tm6 0.705 0.705 0.000 1
Hg1 0.000 0.000 0.500 1
Hg2 0.000 0.500 0.000 1
Hg3 0.500 0.000 0.000 1
Hg4 0.500 0.500 0.500 1
Pb1 0.000 0.000 0.000 1
Pb2 0.250 0.500 0.750 1
Pb3 0.250 0.750 0.500 1
Pb4 0.500 0.250 0.750 1
Pb5 0.500 0.750 0.250 1
Pb6 0.750 0.250 0.500 1
Pb7 0.750 0.500 0.250 1
# DOS(E_F)   18.968 states/eV/f.u.
# Mass density   11141 kg/m3
# Formation energy from the elements   -93 meV/atom
# Calculated total energy   -55.583 eV/cell